Computed, not measured: a relaxed structure of K4Hg12Pt3Au at the GGA-PBE level of DFT.

POSCAR file:
```
K4Hg12Pt3Au
1.0
-5.390 5.390 5.390
5.390 -5.390 5.390
5.390 5.390 -5.390
K Hg Pt Au
4 12 3 1
Direct
0.000 0.000 0.500
0.000 0.500 0.000
0.500 0.000 0.000
0.500 0.500 0.500
0.000 0.254 0.254
0.000 0.746 0.746
0.250 0.500 0.750
0.250 0.750 0.500
0.254 0.000 0.254
0.254 0.254 0.000
0.500 0.250 0.750
0.500 0.750 0.250
0.746 0.000 0.746
0.746 0.746 0.000
0.750 0.250 0.500
0.750 0.500 0.250
0.000 0.500 0.500
0.500 0.000 0.500
0.500 0.500 0.000
0.000 0.000 0.000
```

Computed properties:
As for the energy of formation from the pure elements: -4.8 eV per formula unit. As for the space group: Im-3m, No. 229.

=====

Computed, not measured: a relaxed structure of KHgPtAu2 at the GGA-PBE level of DFT.

POSCAR file:
```
KHgPtAu2
1.0
5.263 0.000 0.000
0.000 5.263 0.000
0.000 0.000 5.210
K Hg Pt Au
1 1 1 2
Direct
0.000 0.000 0.000
0.500 0.500 0.000
0.500 0.500 0.500
0.000 0.500 0.500
0.500 0.000 0.500
```

Computed properties:
As for the energy of formation from the pure elements: -0.3 eV per formula unit. As for the space group: P4/mmm, No. 123.

=====

Computed, not measured: a relaxed structure of KRb2Hg2Au2 at the GGA-PBE level of DFT.

POSCAR file:
```
KRb2Hg2Au2
1.0
2.506 1.447 12.845
-2.506 1.447 12.845
0.000 -2.894 12.845
K Rb Hg Au
1 2 2 2
Direct
0.000 0.000 0.000
0.113 0.113 0.113
0.887 0.887 0.887
0.279 0.279 0.279
0.721 0.721 0.721
0.390 0.390 0.390
0.610 0.610 0.610
```

Computed properties:
As for the energy of formation from the pure elements: -1.8 eV per formula unit. As for the space group: R-3m, No. 166.

=====

Computed, not measured: a relaxed structure of K4Rb2HgAu2 at the GGA-PBE level of DFT.

POSCAR file:
```
K4Rb2HgAu2
1.0
6.246 0.000 0.000
-1.566 7.947 0.000
-2.488 -1.362 9.684
K Rb Hg Au
4 2 1 2
Direct
0.062 0.250 0.476
0.174 0.787 0.159
0.826 0.213 0.841
0.938 0.750 0.524
0.496 0.339 0.200
0.504 0.661 0.800
0.500 0.000 0.500
0.380 0.626 0.444
0.620 0.374 0.556
```

Computed properties:
As for the energy of formation from the pure elements: -1.6 eV per formula unit. As for the space group: P-1, No. 2.